<1>
Density functional theory data (PBE) for ZrTe2SeI after structural relaxation.

abc: 5.616 5.616 5.756
angles: 90.00 90.00 90.00
Last column: magnetic moment on the atom in μB.
Fractional positions:
Se 0.500 0.500 0.500  0.99
Zr 0.000 0.000 0.000  0.10
Te 0.500 0.000 0.000  0.09
I 0.000 0.000 0.500  0.06
Te 0.000 0.500 0.000  0.09

Output
Calculated density ... 5.05 g/cm³
Magnetic moment ... 2.2 μB/f.u.

---

<2>
Density functional theory data (PBE) for ZrTe2SeI after structural relaxation.

abc: 5.373 5.373 5.537
angles: 90.00 90.00 90.00
Last column: magnetic moment on the atom in μB.
Fractional positions:
I 0.000 0.000 0.500  -0.07
Te 0.000 0.500 0.000  -0.11
Se 0.000 0.000 0.000  -0.02
Te 0.500 0.000 0.000  -0.11
Zr 0.500 0.500 0.500  1.21

Output
Calculated density ... 5.74 g/cm³
Magnetic moment ... 1.4 μB/f.u.

---

Name the most stable of them. <1>.

---

<1>
Density functional theory data (PBE) for ThSeI3 after structural relaxation.

abc: 8.859 8.859 8.859
angles: 82.22 131.25 118.43
Fractional positions:
Se 0.556 0.282 0.774
I 0.082 0.282 0.300
Th 0.032 0.532 0.000
I 0.032 0.766 0.235
Th 0.532 0.032 0.000
I 0.531 0.266 0.235
I 0.982 0.782 0.700
I 0.032 0.296 0.765
I 0.531 0.796 0.765
Se 0.508 0.782 0.226

Output
Calculated density ... 5.19 g/cm³
Magnetic moment ... 0.0 μB/f.u.

---

<2>
Density functional theory data (PBE) for ThSeI3 after structural relaxation.

abc: 8.097 9.117 15.506
angles: 85.71 80.31 63.64
Fractional positions:
I 0.280 0.911 0.693
Se 0.315 0.644 0.207
Se 0.685 0.356 0.793
I 0.809 0.911 0.807
I 0.476 0.289 0.585
I 0.191 0.089 0.193
Th 0.970 0.878 0.142
I 0.720 0.089 0.307
Se 0.958 0.356 0.707
Se 0.042 0.644 0.293
I 0.950 0.797 0.537
Th 0.152 0.878 0.358
Th 0.030 0.122 0.858
I 0.235 0.289 0.915
I 0.524 0.711 0.415
I 0.050 0.203 0.463
Th 0.848 0.122 0.642
I 0.765 0.711 0.085
I 0.747 0.203 0.037
I 0.253 0.797 0.963

Output
Calculated density ... 4.54 g/cm³
Magnetic moment ... 0.0 μB/f.u.

---

Name the most stable of them. <2>.

---

<1>
Density functional theory data (PBE) for Ti3SeI after structural relaxation.

abc: 4.805 4.805 4.805
angles: 90.00 90.00 90.00
Last column: magnetic moment on the atom in μB.
Fractional positions:
Ti 0.000 0.500 0.000  0.59
Ti 0.500 0.000 0.000  0.61
Se 0.000 0.000 0.000  -0.01
I 0.500 0.500 0.500  0.02
Ti 0.000 0.000 0.500  0.51

Output
Calculated density ... 5.23 g/cm³
Magnetic moment ... 2.4 μB/f.u.

---

<2>
Density functional theory data (PBE) for Ti3SeI after structural relaxation.

abc: 5.017 5.017 5.017
angles: 90.00 90.00 90.00
Last column: magnetic moment on the atom in μB.
Fractional positions:
Ti 0.000 0.000 0.500  0.91
Ti 0.000 0.500 0.000  0.91
Ti 0.500 0.000 0.000  0.95
I 0.000 0.000 0.000  0.00
Se 0.500 0.500 0.500  -0.06

Output
Calculated density ... 4.60 g/cm³
Magnetic moment ... 3.7 μB/f.u.

---

Name the most stable of them. <1>.

---

<1>
Density functional theory data (PBE) for Ti2Se2I after structural relaxation.

abc: 7.437 7.437 7.466
angles: 119.87 119.87 90.00
Last column: magnetic moment on the atom in μB.
Fractional positions:
Ti 0.887 0.174 0.349  1.23
Se 0.153 0.412 0.823  -0.05
Ti 0.424 0.211 0.849  1.23
Se 0.662 0.420 0.323  -0.05
I 0.259 0.759 0.517  -0.02
I 0.009 0.009 0.017  -0.02
Se 0.670 0.412 0.823  -0.05
Se 0.662 0.903 0.323  -0.05
Ti 0.424 0.637 0.849  1.23
Ti 0.461 0.174 0.349  1.23

Output
Calculated density ... 4.31 g/cm³
Magnetic moment ... 3.0 μB/f.u.

---

<2>
Density functional theory data (PBE) for Ti2Se2I after structural relaxation.

abc: 7.736 7.736 3.476
angles: 90.00 90.00 90.00
Fractional positions:
I 0.000 0.000 0.000
Se 0.860 0.360 0.500
Se 0.140 0.640 0.500
Ti 0.878 0.622 0.000
Ti 0.378 0.878 0.000
I 0.500 0.500 0.000
Ti 0.622 0.122 0.000
Se 0.360 0.140 0.500
Se 0.640 0.860 0.500
Ti 0.122 0.378 0.000

Output
Calculated density ... 6.07 g/cm³
Magnetic moment ... 0.0 μB/f.u.

---

Name the most stable of them. <1>.